Computed, not measured: a relaxed ZrNiI crystal at the GGA-PBE level of DFT.

Formation energy without anion corrections ... -141 meV/atom
N(E_F) ... 3.96 states/eV/cell
V ... 22.056 Å³/atom

a = 3.6186 Å, b = 6.2166 Å, c = 5.8828 Å
α = 90.00°, β = 90.00°, γ = 90.00°
With the nearest neighbours (Å) after each atom.
Space group Pmm2 (No. 25)
One atom of each set of equivalent atoms:
Zr 0.0000 0.2483 0.0000 x2  4 Ni 2.72-2.73
Ni 0.5000 0.0000 0.2269 x1  1 I 2.61, 4 Zr 2.73
Ni 0.5000 0.5000 0.2198 x1  2 I 2.67, 4 Zr 2.72
I 0.0000 0.5000 0.5534 x1  2 Ni 2.67
I 0.5000 0.0000 0.6705 x1  1 Ni 2.61